A plane-wave DFT calculation with PBE was carried out for NaSr2CdAg after structural relaxation.

Lattice parameters (Å, degrees): 6.176 6.176 5.332 90.00 90.00 90.00
Space group P4/mmm (No. 123)
Inequivalent atoms, fractional coordinates:
Na: 0.000 0.000 0.000 (multiplicity 1)
Sr: 0.000 0.500 0.500 (multiplicity 2)
Cd: 0.500 0.500 0.000 (multiplicity 1)
Ag: 0.500 0.500 0.500 (multiplicity 1)

Values from the calculation:
ΔH_f (0 K)   -53 meV per atom
Calculated density   3.42 g/cm³
Electronic total energy   -1.7432 eV per atom